# NaMnAlF6 (GGA+U, relaxed)
data_NaMnAlF6
_space_group_name_H-M_alt 'P -3 1 c'
_space_group_IT_number 163
_space_group_name_Hall '-P 3 2c'
_cell_length_a 5.3100
_cell_length_b 5.3100
_cell_length_c 8.9423
_cell_angle_alpha 90.00
_cell_angle_beta 90.00
_cell_angle_gamma 120.00
loop_
_atom_site_label
_atom_site_type_symbol
_atom_site_fract_x
_atom_site_fract_y
_atom_site_fract_z
Na1 Na 0.3333 0.6667 0.2500
Mn1 Mn 0.0000 0.0000 0.0000
Al1 Al 0.3333 0.6667 0.7500
F1 F 0.0607 0.3720 0.6323
# magnetization: 5.0 μB/f.u.
# electronic total energy: -5.736 eV per atom
# volume: 218.4 Å³ per cell